# 1
The following is a DFT calculation (PBE) of crystalline RbRuI2N at its relaxed geometry.

crystal system = tetragonal
relative energy among the computed polymorphs = 0 meV per atom
ΔE_f (raw) = -0.150 eV/atom
total energy = -4.484 eV per atom

Structure (extended XYZ):
```
5
Lattice="-5.8789 0.1486 0.5392 -0.2140 -5.8575 -0.7198 0.3319 -0.4728 3.7484" Properties=species:S:1:pos:R:3 pbc="T T T"
I -0.1070 -2.9287 -0.3599
I -2.9394 0.0743 0.2696
Ru 0.0000 0.0000 0.0000
Rb -2.8805 -3.0908 1.7839
N 0.1659 -0.2364 1.8742
```

---

# 2
The following is a DFT calculation (PBE) of crystalline RbRuI2N at its relaxed geometry.

crystal system = tetragonal
relative energy among the computed polymorphs = 2164 meV per atom
ΔE_f (raw) = 2.013 eV/atom
total energy = -2.320 eV per atom

Structure (extended XYZ):
```
5
Lattice="-3.4195 3.9344 -3.9124 0.9088 -4.1365 -4.9541 -3.7472 -2.1528 1.1102" Properties=species:S:1:pos:R:3 pbc="T T T"
I 0.4544 -2.0682 -2.4770
I -1.7098 1.9672 -1.9562
Ru -3.1290 -1.1775 -3.8781
Rb 0.0000 0.0000 0.0000
N -1.8736 -1.0764 0.5551
```

---

# 3
The following is a DFT calculation (PBE) of crystalline RbSIN2 at its relaxed geometry.

crystal system = tetragonal
relative energy among the computed polymorphs = 0 meV per atom
ΔE_f (raw) = 1.375 eV/atom
total energy = -3.285 eV per atom

Structure (extended XYZ):
```
5
Lattice="-4.2608 0.8670 -0.7660 -0.8761 -4.3272 -0.0245 -0.9074 0.1542 5.2214" Properties=species:S:1:pos:R:3 pbc="T T T"
I 0.0000 0.0000 0.0000
S -0.4537 0.0771 2.6107
Rb -3.0221 -1.6531 2.2154
N -0.4380 -2.1636 -0.0122
N -2.1304 0.4335 -0.3830
```

---

# 4
The following is a DFT calculation (PBE) of crystalline RbSIN2 at its relaxed geometry.

crystal system = tetragonal
relative energy among the computed polymorphs = 80 meV per atom
ΔE_f (raw) = 1.455 eV/atom
total energy = -3.204 eV per atom

Structure (extended XYZ):
```
5
Lattice="-4.4787 1.3246 0.3347 -1.1781 -4.3252 1.3527 0.8317 1.4541 5.3741" Properties=species:S:1:pos:R:3 pbc="T T T"
I 0.4159 0.7271 2.6871
S 0.0000 0.0000 0.0000
Rb -2.4125 -0.7733 3.5308
N -0.5890 -2.1626 0.6763
N -2.2393 0.6623 0.1674
```

---

# 5
The following is a DFT calculation (PBE) of crystalline RbS2IN at its relaxed geometry.

crystal system = tetragonal
relative energy among the computed polymorphs = 1253 meV per atom
ΔE_f (raw) = 1.996 eV/atom
total energy = -1.824 eV per atom

Structure (extended XYZ):
```
5
Lattice="-0.8484 -6.0137 -1.6490 5.0234 -1.6452 3.4151 -2.8061 -0.6501 3.8145" Properties=species:S:1:pos:R:3 pbc="T T T"
I 0.6845 -4.1545 2.7903
S 2.5117 -0.8226 1.7075
S -0.4242 -3.0069 -0.8245
Rb 0.0000 0.0000 0.0000
N -1.4030 -0.3250 1.9072
```

---

# 6
The following is a DFT calculation (PBE) of crystalline RbSIN2 at its relaxed geometry.

crystal system = tetragonal
relative energy among the computed polymorphs = 735 meV per atom
ΔE_f (raw) = 2.110 eV/atom
total energy = -2.549 eV per atom

Structure (extended XYZ):
```
5
Lattice="5.6944 0.0000 0.0000 0.0000 5.6944 0.0000 0.0000 0.0000 6.4118" Properties=species:S:1:pos:R:3 pbc="T T T"
I 2.8472 2.8472 3.2059
S 0.0000 0.0000 3.2059
Rb 0.0000 0.0000 0.0000
N 0.0000 2.8472 0.0000
N 2.8472 0.0000 0.0000
```

---

# 7
The following is a DFT calculation (PBE) of crystalline RbS2IN at its relaxed geometry.

crystal system = tetragonal
relative energy among the computed polymorphs = 0 meV per atom
ΔE_f (raw) = 0.742 eV/atom
total energy = -3.077 eV per atom

Structure (extended XYZ):
```
5
Lattice="5.3654 0.0000 0.0000 0.0000 5.3654 0.0000 0.0000 0.0000 4.2151" Properties=species:S:1:pos:R:3 pbc="T T T"
I 0.0000 0.0000 0.0000
S 0.0000 2.6827 0.0000
S 2.6827 0.0000 0.0000
Rb 2.6827 2.6827 2.1075
N 0.0000 0.0000 2.1075
```

---

# 8
The following is a DFT calculation (PBE) of crystalline RbSbIN2 at its relaxed geometry.

crystal system = tetragonal
relative energy among the computed polymorphs = 0 meV per atom
ΔE_f (raw) = 0.848 eV/atom
total energy = -3.810 eV per atom

Structure (extended XYZ):
```
5
Lattice="-1.5023 -0.0745 4.2402 3.3662 -2.7570 1.1442 3.7368 5.1495 1.4143" Properties=species:S:1:pos:R:3 pbc="T T T"
I 1.8684 2.5747 0.7072
Sb 0.0000 0.0000 0.0000
Rb 2.8004 1.1590 3.3994
N 1.6831 -1.3785 0.5721
N -0.7511 -0.0372 2.1201
```